DFT (PBE with a Hubbard U) results for a relaxed structure of Ho2V2O7.

Cell: 5.794 5.794 5.252 Å, 95.99 95.99 110.43°
Element x y z (fractional)
Ho: 0.187 0.813 0.000
Ho: 0.813 0.187 0.000
V: 0.253 0.253 0.602
V: 0.747 0.747 0.398
O: 0.074 0.074 0.279
O: 0.111 0.436 0.795
O: 0.436 0.111 0.795
O: 0.500 0.500 0.500
O: 0.564 0.889 0.205
O: 0.889 0.564 0.205
O: 0.926 0.926 0.721

## Properties
Its total magnetic moment is 2.0 Bohr magnetons per cell. The value obtained for the uncorrected energy is -88.74 eV per formula unit. Its crystal system is monoclinic. The energy above the most stable polymorph in this dataset comes out at 67.9 meV/atom.